Sm4DySc5 | GGA-PBE | relaxed

magnetic moment: 0.00 μB per formula unit
E: -5.281 eV per atom
DFT formation energy: 0.2331 eV/atom

Lattice parameters (Å, degrees): 7.779 7.779 7.779 97.63 97.63 137.25
Atoms (fractional coordinates):
Sm (0.000, 0.321, 0.321)
Sm (0.000, 0.679, 0.679)
Sm (0.321, 0.000, 0.321)
Sm (0.679, 0.000, 0.679)
Dy (0.739, 0.739, 0.000)
Sc (0.222, 0.222, 0.000)
Sc (0.277, 0.277, 0.621)
Sc (0.277, 0.656, 0.000)
Sc (0.656, 0.277, 0.000)
Sc (0.656, 0.656, 0.379)


NiP2Se | GGA-PBE | relaxed

formation energy (no corrections): 0.40 eV/atom
magnetic moment: 0.00 μB per formula unit
E: -4.617 eV per atom

Lattice parameters (Å, degrees): 3.293 3.293 16.192 90.00 90.00 90.00
Atoms (fractional coordinates):
Ni (0.000, 0.000, 0.000)
Ni (0.500, 0.500, 0.500)
P (0.000, 0.500, 0.250)
P (0.000, 0.500, 0.750)
P (0.500, 0.000, 0.250)
P (0.500, 0.000, 0.750)
Se (0.000, 0.000, 0.500)
Se (0.500, 0.500, 0.000)


LaTaMoOs | GGA-PBE | relaxed

magnetic moment: 0.00 μB per formula unit
E: -9.327 eV per atom
DFT formation energy: 0.3831 eV/atom

Lattice parameters (Å, degrees): 10.121 3.148 5.563 90.00 107.33 90.00
Atoms (fractional coordinates):
La (0.000, 0.000, 0.000)
La (0.500, 0.500, 0.000)
Ta (0.298, 0.500, 0.346)
Ta (0.798, 0.000, 0.346)
Mo (0.025, 0.500, 0.533)
Mo (0.525, 0.000, 0.533)
Os (0.241, 0.000, 0.669)
Os (0.741, 0.500, 0.669)


CdTeW2 | GGA-PBE | relaxed

formation energy (no corrections): 0.81 eV/atom
magnetic moment: 0.00 μB per formula unit
E: -6.685 eV per atom

Lattice parameters (Å, degrees): 3.098 4.712 5.563 90.00 105.73 90.00
Atoms (fractional coordinates):
Cd (0.000, 0.000, 0.000)
Te (0.608, 0.500, 0.245)
W (0.317, 0.500, 0.672)
W (0.824, 0.000, 0.496)


ZrOs | GGA-PBE | relaxed

magnetic moment: 0.00 μB per formula unit
E: -9.930 eV per atom
DFT formation energy: -0.0414 eV/atom

Lattice parameters (Å, degrees): 8.505 8.505 3.867 90.00 90.00 120.00
Atoms (fractional coordinates):
Zr (0.178, 0.355, 0.250)
Zr (0.178, 0.822, 0.250)
Zr (0.355, 0.178, 0.750)
Zr (0.645, 0.822, 0.250)
Zr (0.822, 0.178, 0.750)
Zr (0.822, 0.645, 0.750)
Os (0.124, 0.562, 0.750)
Os (0.438, 0.562, 0.750)
Os (0.438, 0.876, 0.750)
Os (0.562, 0.124, 0.250)
Os (0.562, 0.438, 0.250)
Os (0.876, 0.438, 0.250)


Sm2TmMg5 | GGA-PBE | relaxed

magnetic moment: 0.00 μB per formula unit
E: -2.798 eV per atom
DFT formation energy: -0.0629 eV/atom

Lattice parameters (Å, degrees): 5.232 5.232 15.526 90.00 90.00 90.00
Atoms (fractional coordinates):
Sm (0.000, 0.000, 0.243)
Sm (0.000, 0.000, 0.757)
Sm (0.500, 0.500, 0.257)
Sm (0.500, 0.500, 0.743)
Tm (0.000, 0.000, 0.500)
Tm (0.500, 0.500, 0.000)
Mg (0.000, 0.000, 0.000)
Mg (0.000, 0.500, 0.115)
Mg (0.000, 0.500, 0.385)
Mg (0.000, 0.500, 0.615)
Mg (0.000, 0.500, 0.885)
Mg (0.500, 0.000, 0.115)
Mg (0.500, 0.000, 0.385)
Mg (0.500, 0.000, 0.615)
Mg (0.500, 0.000, 0.885)
Mg (0.500, 0.500, 0.500)


CsTeSe2 | GGA-PBE | relaxed

formation energy (no corrections): -0.41 eV/atom
magnetic moment: 0.00 μB per formula unit
E: -3.146 eV per atom

Lattice parameters (Å, degrees): 5.420 8.374 6.922 90.00 95.95 90.00
Atoms (fractional coordinates):
Cs (0.209, 0.250, 0.166)
Cs (0.791, 0.750, 0.834)
Te (0.232, 0.750, 0.375)
Te (0.768, 0.250, 0.625)
Se (0.274, 0.106, 0.665)
Se (0.274, 0.394, 0.665)
Se (0.726, 0.606, 0.335)
Se (0.726, 0.894, 0.335)


PaZnCl | GGA-PBE | relaxed

formation energy (no corrections): -0.13 eV/atom
magnetic moment: 0.33 μB per formula unit
E: -4.340 eV per atom

Lattice parameters (Å, degrees): 17.874 3.185 5.147 90.00 93.98 90.00
Atoms (fractional coordinates):
Pa (0.046, 0.000, 0.206)
Pa (0.454, 0.500, 0.794)
Pa (0.546, 0.500, 0.206)
Pa (0.954, 0.000, 0.794)
Zn (0.228, 0.000, 0.211)
Zn (0.272, 0.500, 0.789)
Zn (0.728, 0.500, 0.211)
Zn (0.772, 0.000, 0.789)
Cl (0.108, 0.000, 0.691)
Cl (0.392, 0.500, 0.309)
Cl (0.608, 0.500, 0.691)
Cl (0.892, 0.000, 0.309)


NaH4ClO2 | GGA-PBE | relaxed

magnetic moment: 0.07 μB per formula unit
E: -4.541 eV per atom

Lattice parameters (Å, degrees): 6.440 10.212 6.644 90.00 116.46 90.00
Atoms (fractional coordinates):
Na (0.015, 0.169, 0.446)
Na (0.015, 0.331, 0.946)
Na (0.985, 0.669, 0.054)
Na (0.985, 0.831, 0.554)
H (0.227, 0.588, 0.786)
H (0.227, 0.912, 0.286)
H (0.256, 0.043, 0.883)
H (0.256, 0.457, 0.383)
H (0.378, 0.691, 0.960)
H (0.378, 0.809, 0.460)
H (0.391, 0.517, 0.257)
H (0.391, 0.983, 0.757)
H (0.609, 0.017, 0.243)
H (0.609, 0.483, 0.743)
H (0.622, 0.191, 0.540)
H (0.622, 0.309, 0.040)
H (0.744, 0.543, 0.617)
H (0.744, 0.957, 0.117)
H (0.773, 0.088, 0.714)
H (0.773, 0.412, 0.214)
Cl (0.285, 0.115, 0.206)
Cl (0.285, 0.385, 0.706)
Cl (0.715, 0.615, 0.294)
Cl (0.715, 0.885, 0.794)
O (0.220, 0.677, 0.841)
O (0.220, 0.823, 0.341)
O (0.237, 0.013, 0.734)
O (0.237, 0.487, 0.234)
O (0.763, 0.513, 0.766)
O (0.763, 0.987, 0.266)
O (0.780, 0.177, 0.659)
O (0.780, 0.323, 0.159)


PaZnCo2 | GGA-PBE | relaxed

magnetic moment: 0.00 μB per formula unit
E: -6.556 eV per atom
DFT formation energy: -0.3110 eV/atom

Lattice parameters (Å, degrees): 4.567 4.285 6.589 90.00 105.12 90.00
Atoms (fractional coordinates):
Pa (0.177, 0.250, 0.221)
Pa (0.823, 0.750, 0.779)
Zn (0.291, 0.250, 0.712)
Zn (0.709, 0.750, 0.288)
Co (0.322, 0.750, 0.522)
Co (0.334, 0.750, 0.929)
Co (0.666, 0.250, 0.071)
Co (0.678, 0.250, 0.478)